1.
A geometry-optimized USiRh2 structure. Source: the Alexandria database, functional GGA-PBE.

Cell and atoms, written as CIF:
```
data_USiRh2
_chemical_formula_sum 'U2 Si2 Rh4'
_cell_length_a 7.095
_cell_length_b 4.092
_cell_length_c 5.323
_cell_angle_alpha 90.00
_cell_angle_beta 116.53
_cell_angle_gamma 90.00
_symmetry_space_group_name_H-M 'C 1 2/m 1'
_symmetry_Int_Tables_number 12
loop_
_symmetry_equiv_pos_as_xyz
'x,y,z'
'-x,-y,-z'
'-x,y,-z'
'x,-y,z'
'x+1/2,y+1/2,z'
'-x+1/2,-y+1/2,-z'
'-x+1/2,y+1/2,-z'
'x+1/2,-y+1/2,z'
loop_
_atom_site_label
_atom_site_type_symbol
_atom_site_fract_x
_atom_site_fract_y
_atom_site_fract_z
_atom_site_occupancy
U1 U 0.000 0.000 0.000 1
Si1 Si 0.000 0.500 0.500 1
Rh1 Rh 0.221 0.000 0.663 1
```

2.
A geometry-optimized U2Si7Rh12 structure. Source: the Alexandria database, functional GGA-PBE.

Cell and atoms, written as CIF:
```
data_U2Si7Rh12
_chemical_formula_sum 'U2 Si7 Rh12'
_cell_length_a 9.7817
_cell_length_b 9.7817
_cell_length_c 3.8231
_cell_angle_alpha 90.00
_cell_angle_beta 90.00
_cell_angle_gamma 120.00
_symmetry_space_group_name_H-M 'P -3'
_symmetry_Int_Tables_number 147
loop_
_symmetry_equiv_pos_as_xyz
'x,y,z'
'-x,-y,-z'
'-y,x-y,z'
'y,-x+y,-z'
'-x+y,-x,z'
'x-y,x,-z'
loop_
_atom_site_label
_atom_site_type_symbol
_atom_site_fract_x
_atom_site_fract_y
_atom_site_fract_z
_atom_site_occupancy
U1 U 0.3333 0.6667 0.2529 1
Si1 Si 0.0000 0.0000 0.5000 1
Si2 Si 0.1065 0.3974 0.7508 1
Rh1 Rh 0.0701 0.6214 0.7519 1
Rh2 Rh 0.1226 0.8597 0.2535 1
```

3.
A geometry-optimized USiRh3 structure. Source: the Alexandria database, functional GGA-PBE.

Cell and atoms, written as CIF:
```
data_USiRh3
_chemical_formula_sum 'U4 Si4 Rh12'
_cell_length_a 7.690
_cell_length_b 5.817
_cell_length_c 8.959
_cell_angle_alpha 90.00
_cell_angle_beta 121.70
_cell_angle_gamma 90.00
_symmetry_space_group_name_H-M 'P 1 21/c 1'
_symmetry_Int_Tables_number 14
loop_
_symmetry_equiv_pos_as_xyz
'x,y,z'
'-x,-y,-z'
'-x,y+1/2,-z+1/2'
'x,-y+1/2,z+1/2'
loop_
_atom_site_label
_atom_site_type_symbol
_atom_site_fract_x
_atom_site_fract_y
_atom_site_fract_z
_atom_site_occupancy
U1 U 0.172 0.241 0.096 1
Si1 Si 0.225 0.579 0.878 1
Rh1 Rh 0.124 0.537 0.274 1
Rh2 Rh 0.294 0.662 0.633 1
Rh3 Rh 0.447 0.250 0.006 1
```

4.
A geometry-optimized USi3Rh5 structure. Source: the Alexandria database, functional GGA-PBE.

Cell and atoms, written as CIF:
```
data_USi3Rh5
_chemical_formula_sum 'U4 Si12 Rh20'
_cell_length_a 2.978
_cell_length_b 13.040
_cell_length_c 14.297
_cell_angle_alpha 90.00
_cell_angle_beta 90.00
_cell_angle_gamma 90.00
_symmetry_space_group_name_H-M 'C m c m'
_symmetry_Int_Tables_number 63
_symmetry_space_group_name_Hall '-C 2c 2'
loop_
_atom_site_label
_atom_site_type_symbol
_atom_site_fract_x
_atom_site_fract_y
_atom_site_fract_z
_atom_site_occupancy
U1 U 0.000 0.158 0.250 1
Si1 Si 0.000 0.123 0.750 1
Si2 Si 0.000 0.362 0.543 1
Rh1 Rh 0.000 0.000 0.000 1
Rh2 Rh 0.000 0.194 0.590 1
Rh3 Rh 0.000 0.492 0.157 1
```

5.
# USi3Rh3 GGA-PBE optimized geometry
data_USi3Rh3
_chemical_formula_sum 'U2 Si6 Rh6'
_cell_length_a 8.2223
_cell_length_b 8.2223
_cell_length_c 4.2408
_cell_angle_alpha 90.00
_cell_angle_beta 90.00
_cell_angle_gamma 120.00
_symmetry_space_group_name_H-M 'P 63/m'
_symmetry_Int_Tables_number 176
_symmetry_space_group_name_Hall '-P 6c'
loop_
_atom_site_label
_atom_site_type_symbol
_atom_site_fract_x
_atom_site_fract_y
_atom_site_fract_z
_atom_site_occupancy
U1 U 0.3333 0.6667 0.2500 1
Si1 Si 0.0532 0.6282 0.7500 1
Rh1 Rh 0.0530 0.3328 0.7500 1
# Energy above the most stable polymorph in this dataset: 0.0 meV per atom

6.
A geometry-optimized U2Si2Rh5 structure. Source: the Alexandria database, functional GGA-PBE.

Cell and atoms, written as CIF:
```
data_U2Si2Rh5
_chemical_formula_sum 'U2 Si2 Rh5'
_cell_length_a 4.053
_cell_length_b 4.053
_cell_length_c 8.955
_cell_angle_alpha 90.00
_cell_angle_beta 90.00
_cell_angle_gamma 90.00
_symmetry_space_group_name_H-M 'P 4/m m m'
_symmetry_Int_Tables_number 123
_symmetry_space_group_name_Hall '-P 4 2'
loop_
_atom_site_label
_atom_site_type_symbol
_atom_site_fract_x
_atom_site_fract_y
_atom_site_fract_z
_atom_site_occupancy
U1 U 0.000 0.000 0.000 1
U2 U 0.000 0.000 0.500 1
Si1 Si 0.500 0.500 0.132 1
Rh1 Rh 0.000 0.500 0.275 1
Rh2 Rh 0.500 0.500 0.500 1
```

7.
A geometry-optimized U3Si6Rh20 structure. Source: the Alexandria database, functional GGA-PBE.

Cell and atoms, written as CIF:
```
data_U3Si6Rh20
_chemical_formula_sum 'U12 Si24 Rh80'
_cell_length_a 12.055
_cell_length_b 12.055
_cell_length_c 12.055
_cell_angle_alpha 90.00
_cell_angle_beta 90.00
_cell_angle_gamma 90.00
_symmetry_space_group_name_H-M 'F m -3 m'
_symmetry_Int_Tables_number 225
_symmetry_space_group_name_Hall '-F 4 2 3'
loop_
_atom_site_label
_atom_site_type_symbol
_atom_site_fract_x
_atom_site_fract_y
_atom_site_fract_z
_atom_site_occupancy
U1 U 0.000 0.000 0.000 1
U2 U 0.250 0.250 0.250 1
Si1 Si 0.000 0.000 0.277 1
Rh1 Rh 0.000 0.169 0.169 1
Rh2 Rh 0.124 0.124 0.376 1
```

8.
# USi2Rh2 GGA-PBE optimized geometry
data_USi2Rh2
_chemical_formula_sum 'U2 Si4 Rh4'
_cell_length_a 3.984
_cell_length_b 3.984
_cell_length_c 16.306
_cell_angle_alpha 90.00
_cell_angle_beta 90.00
_cell_angle_gamma 90.00
_symmetry_space_group_name_H-M 'I 4/m m m'
_symmetry_Int_Tables_number 139
_symmetry_space_group_name_Hall '-I 4 2'
loop_
_atom_site_label
_atom_site_type_symbol
_atom_site_fract_x
_atom_site_fract_y
_atom_site_fract_z
_atom_site_occupancy
U1 U 0.000 0.000 0.000 1
Si1 Si 0.000 0.000 0.175 1
Rh1 Rh 0.000 0.500 0.250 1
# Energy above the most stable polymorph in this dataset: 1091.9 meV per atom

9.
# USi3Rh3 GGA-PBE optimized geometry
data_USi3Rh3
_chemical_formula_sum 'U2 Si6 Rh6'
_cell_length_a 6.482
_cell_length_b 6.482
_cell_length_c 6.482
_cell_angle_alpha 90.00
_cell_angle_beta 90.00
_cell_angle_gamma 90.00
_symmetry_space_group_name_H-M 'P m -3 n'
_symmetry_Int_Tables_number 223
_symmetry_space_group_name_Hall '-P 4n 2 3'
loop_
_atom_site_label
_atom_site_type_symbol
_atom_site_fract_x
_atom_site_fract_y
_atom_site_fract_z
_atom_site_occupancy
U1 U 0.000 0.000 0.000 1
Si1 Si 0.000 0.250 0.500 1
Rh1 Rh 0.000 0.500 0.250 1
# Energy above the most stable polymorph in this dataset: 253.1 meV per atom

10.
A geometry-optimized USi2Rh structure. Source: the Alexandria database, functional GGA-PBE.

Cell and atoms, written as CIF:
```
data_USi2Rh
_chemical_formula_sum 'U1 Si2 Rh1'
_cell_length_a 2.883
_cell_length_b 2.883
_cell_length_c 7.395
_cell_angle_alpha 90.00
_cell_angle_beta 90.00
_cell_angle_gamma 90.00
_symmetry_space_group_name_H-M 'P 4/m m m'
_symmetry_Int_Tables_number 123
_symmetry_space_group_name_Hall '-P 4 2'
loop_
_atom_site_label
_atom_site_type_symbol
_atom_site_fract_x
_atom_site_fract_y
_atom_site_fract_z
_atom_site_occupancy
U1 U 0.000 0.000 0.000 1
Si1 Si 0.500 0.500 0.288 1
Rh1 Rh 0.000 0.000 0.500 1
```

11.
A geometry-optimized U2Si3Rh5 structure. Source: the Alexandria database, functional GGA-PBE.

Cell and atoms, written as CIF:
```
data_U2Si3Rh5
_chemical_formula_sum 'U8 Si12 Rh20'
_cell_length_a 4.051
_cell_length_b 24.794
_cell_length_c 6.458
_cell_angle_alpha 90.00
_cell_angle_beta 90.00
_cell_angle_gamma 90.00
_symmetry_space_group_name_H-M 'C m c 21'
_symmetry_Int_Tables_number 36
loop_
_symmetry_equiv_pos_as_xyz
'x,y,z'
'-x,-y,z+1/2'
'-x,y,z'
'x,-y,z+1/2'
'x+1/2,y+1/2,z'
'-x+1/2,-y+1/2,z+1/2'
'-x+1/2,y+1/2,z'
'x+1/2,-y+1/2,z+1/2'
loop_
_atom_site_label
_atom_site_type_symbol
_atom_site_fract_x
_atom_site_fract_y
_atom_site_fract_z
_atom_site_occupancy
U1 U 0.000 0.012 0.000 1
U2 U 0.000 0.324 0.970 1
Si1 Si 0.000 0.111 0.221 1
Si2 Si 0.000 0.277 0.433 1
Si3 Si 0.000 0.445 0.227 1
Rh1 Rh 0.000 0.104 0.622 1
Rh2 Rh 0.000 0.206 0.153 1
Rh3 Rh 0.000 0.216 0.724 1
Rh4 Rh 0.000 0.374 0.489 1
Rh5 Rh 0.000 0.444 0.840 1
```

12.
A geometry-optimized USi2Rh structure. Source: the Alexandria database, functional GGA-PBE.

Cell and atoms, written as CIF:
```
data_USi2Rh
_chemical_formula_sum 'U4 Si8 Rh4'
_cell_length_a 6.909
_cell_length_b 3.990
_cell_length_c 9.878
_cell_angle_alpha 90.00
_cell_angle_beta 90.00
_cell_angle_gamma 90.00
_symmetry_space_group_name_H-M 'P n m a'
_symmetry_Int_Tables_number 62
loop_
_symmetry_equiv_pos_as_xyz
'x,y,z'
'-x,-y,-z'
'-x+1/2,-y,z+1/2'
'x+1/2,y,-z+1/2'
'x+1/2,-y+1/2,-z+1/2'
'-x+1/2,y+1/2,z+1/2'
'-x,y+1/2,-z'
'x,-y+1/2,z'
loop_
_atom_site_label
_atom_site_type_symbol
_atom_site_fract_x
_atom_site_fract_y
_atom_site_fract_z
_atom_site_occupancy
U1 U 0.146 0.250 0.126 1
Si1 Si 0.150 0.250 0.817 1
Si2 Si 0.219 0.250 0.424 1
Rh1 Rh 0.012 0.750 0.391 1
```

13.
A geometry-optimized USiRh6 structure. Source: the Alexandria database, functional GGA-PBE.

Cell and atoms, written as CIF:
```
data_USiRh6
_chemical_formula_sum 'U1 Si1 Rh6'
_cell_length_a 3.962
_cell_length_b 5.215
_cell_length_c 6.817
_cell_angle_alpha 111.67
_cell_angle_beta 96.67
_cell_angle_gamma 92.16
_symmetry_space_group_name_H-M 'P -1'
_symmetry_Int_Tables_number 2
loop_
_symmetry_equiv_pos_as_xyz
'x,y,z'
'-x,-y,-z'
loop_
_atom_site_label
_atom_site_type_symbol
_atom_site_fract_x
_atom_site_fract_y
_atom_site_fract_z
_atom_site_occupancy
U1 U 0.000 0.000 0.000 1
Si1 Si 0.500 0.000 0.500 1
Rh1 Rh 0.017 0.291 0.570 1
Rh2 Rh 0.373 0.718 0.122 1
Rh3 Rh 0.451 0.299 0.283 1
```

14.
A geometry-optimized U3Si4Rh7 structure. Source: the Alexandria database, functional GGA-PBE.

Cell and atoms, written as CIF:
```
data_U3Si4Rh7
_chemical_formula_sum 'U6 Si8 Rh14'
_cell_length_a 15.192
_cell_length_b 3.957
_cell_length_c 9.371
_cell_angle_alpha 90.00
_cell_angle_beta 125.95
_cell_angle_gamma 90.00
_symmetry_space_group_name_H-M 'C 1 2/m 1'
_symmetry_Int_Tables_number 12
loop_
_symmetry_equiv_pos_as_xyz
'x,y,z'
'-x,-y,-z'
'-x,y,-z'
'x,-y,z'
'x+1/2,y+1/2,z'
'-x+1/2,-y+1/2,-z'
'-x+1/2,y+1/2,-z'
'x+1/2,-y+1/2,z'
loop_
_atom_site_label
_atom_site_type_symbol
_atom_site_fract_x
_atom_site_fract_y
_atom_site_fract_z
_atom_site_occupancy
U1 U 0.000 0.000 0.000 1
U2 U 0.175 0.500 0.673 1
Si1 Si 0.111 0.000 0.840 1
Si2 Si 0.159 0.500 0.271 1
Rh1 Rh 0.000 0.000 0.500 1
Rh2 Rh 0.002 0.500 0.285 1
Rh3 Rh 0.167 0.000 0.435 1
Rh4 Rh 0.200 0.500 0.052 1
```

15.
# U2Si3Rh GGA-PBE optimized geometry
data_U2Si3Rh
_chemical_formula_sum 'U16 Si24 Rh8'
_cell_length_a 7.672
_cell_length_b 8.236
_cell_length_c 14.068
_cell_angle_alpha 90.00
_cell_angle_beta 90.00
_cell_angle_gamma 90.00
_symmetry_space_group_name_H-M 'F m m m'
_symmetry_Int_Tables_number 69
_symmetry_space_group_name_Hall '-F 2 2'
loop_
_atom_site_label
_atom_site_type_symbol
_atom_site_fract_x
_atom_site_fract_y
_atom_site_fract_z
_atom_site_occupancy
U1 U 0.247 0.000 0.000 1
U2 U 0.250 0.250 0.250 1
Si1 Si 0.000 0.000 0.335 1
Si2 Si 0.000 0.245 0.418 1
Rh1 Rh 0.000 0.000 0.165 1
# Energy above the most stable polymorph in this dataset: 4.6 meV per atom

16.
A geometry-optimized USiRh2 structure. Source: the Alexandria database, functional GGA-PBE.

Cell and atoms, written as CIF:
```
data_USiRh2
_chemical_formula_sum 'U2 Si2 Rh4'
_cell_length_a 4.225
_cell_length_b 5.762
_cell_length_c 5.607
_cell_angle_alpha 90.00
_cell_angle_beta 90.00
_cell_angle_gamma 90.00
_symmetry_space_group_name_H-M 'P m m n'
_symmetry_Int_Tables_number 59
loop_
_symmetry_equiv_pos_as_xyz
'x,y,z'
'-x,-y,-z'
'-x+1/2,-y+1/2,z'
'x+1/2,y+1/2,-z'
'x+1/2,-y,-z'
'-x+1/2,y,z'
'-x,y+1/2,-z'
'x,-y+1/2,z'
loop_
_atom_site_label
_atom_site_type_symbol
_atom_site_fract_x
_atom_site_fract_y
_atom_site_fract_z
_atom_site_occupancy
U1 U 0.250 0.250 0.129 1
Si1 Si 0.250 0.750 0.309 1
Rh1 Rh 0.250 0.010 0.668 1
```

17.
A geometry-optimized USiRh2 structure. Source: the Alexandria database, functional GGA-PBE.

Cell and atoms, written as CIF:
```
data_USiRh2
_chemical_formula_sum 'U3 Si3 Rh6'
_cell_length_a 2.8909
_cell_length_b 2.8909
_cell_length_c 26.2713
_cell_angle_alpha 90.00
_cell_angle_beta 90.00
_cell_angle_gamma 120.00
_symmetry_space_group_name_H-M 'R -3 m'
_symmetry_Int_Tables_number 166
_symmetry_space_group_name_Hall '-R 3 2"'
loop_
_atom_site_label
_atom_site_type_symbol
_atom_site_fract_x
_atom_site_fract_y
_atom_site_fract_z
_atom_site_occupancy
U1 U 0.0000 0.0000 0.0000 1
Si1 Si 0.0000 0.0000 0.5000 1
Rh1 Rh 0.0000 0.0000 0.2351 1
```

18.
A geometry-optimized USi2Rh structure. Source: the Alexandria database, functional GGA-PBE.

Cell and atoms, written as CIF:
```
data_USi2Rh
_chemical_formula_sum 'U3 Si6 Rh3'
_cell_length_a 2.8731
_cell_length_b 2.8731
_cell_length_c 26.4156
_cell_angle_alpha 90.00
_cell_angle_beta 90.00
_cell_angle_gamma 120.00
_symmetry_space_group_name_H-M 'R -3 m'
_symmetry_Int_Tables_number 166
_symmetry_space_group_name_Hall '-R 3 2"'
loop_
_atom_site_label
_atom_site_type_symbol
_atom_site_fract_x
_atom_site_fract_y
_atom_site_fract_z
_atom_site_occupancy
U1 U 0.0000 0.0000 0.0000 1
Si1 Si 0.0000 0.0000 0.2386 1
Rh1 Rh 0.0000 0.0000 0.5000 1
```

19.
A geometry-optimized USi2Rh3 structure. Source: the Alexandria database, functional GGA-PBE.

Cell and atoms, written as CIF:
```
data_USi2Rh3
_chemical_formula_sum 'U6 Si12 Rh18'
_cell_length_a 16.132
_cell_length_b 3.897
_cell_length_c 9.652
_cell_angle_alpha 90.00
_cell_angle_beta 108.41
_cell_angle_gamma 90.00
_symmetry_space_group_name_H-M 'C 1 2/m 1'
_symmetry_Int_Tables_number 12
loop_
_symmetry_equiv_pos_as_xyz
'x,y,z'
'-x,-y,-z'
'-x,y,-z'
'x,-y,z'
'x+1/2,y+1/2,z'
'-x+1/2,-y+1/2,-z'
'-x+1/2,y+1/2,-z'
'x+1/2,-y+1/2,z'
loop_
_atom_site_label
_atom_site_type_symbol
_atom_site_fract_x
_atom_site_fract_y
_atom_site_fract_z
_atom_site_occupancy
U1 U 0.000 0.000 0.000 1
U2 U 0.162 0.000 0.697 1
Si1 Si 0.041 0.500 0.773 1
Si2 Si 0.136 0.500 0.447 1
Si3 Si 0.194 0.000 0.122 1
Rh1 Rh 0.000 0.500 0.500 1
Rh2 Rh 0.042 0.000 0.328 1
Rh3 Rh 0.114 0.500 0.188 1
Rh4 Rh 0.179 0.500 0.956 1
Rh5 Rh 0.221 0.000 0.388 1
```

20.
# USi2Rh2 GGA-PBE optimized geometry
data_USi2Rh2
_chemical_formula_sum 'U2 Si4 Rh4'
_cell_length_a 4.019
_cell_length_b 4.019
_cell_length_c 10.107
_cell_angle_alpha 90.00
_cell_angle_beta 90.00
_cell_angle_gamma 90.00
_symmetry_space_group_name_H-M 'I 4/m m m'
_symmetry_Int_Tables_number 139
_symmetry_space_group_name_Hall '-I 4 2'
loop_
_atom_site_label
_atom_site_type_symbol
_atom_site_fract_x
_atom_site_fract_y
_atom_site_fract_z
_atom_site_occupancy
U1 U 0.000 0.000 0.000 1
Si1 Si 0.000 0.000 0.383 1
Rh1 Rh 0.000 0.500 0.250 1
# Energy above the most stable polymorph in this dataset: 0.0 meV per atom

Calculated raw formation energy (eV per atom), listed in the same order as above: -0.64 -0.83 -0.54 -0.58 -0.49 -0.75 -0.68 0.28 -0.24 -0.41 -0.70 -0.66 -0.40 -0.77 -0.50 -0.63 -0.32 -0.28 -0.79 -0.81